[1]
Computed, not measured: an optimized crystal structure of Pm3Pr2Au2 at the GGA-PBE level of DFT.

* total magnetic moment: 0.00 μB per formula unit
* energy of formation from the pure elements: -0.46 eV per atom

Lattice parameters (Å, degrees): 12.9830 3.8832 9.4276 90.00 115.98 90.00
Closest atoms and distances in Å follow each position.
Space group C2/m (No. 12)
Inequivalent atoms, fractional coordinates:
1 Pm 0.0000 0.0000 0.0000 (multiplicity 2)  4 Au 3.01
2 Pm 0.1143 0.0000 0.4463 (multiplicity 4)  3 Au 3.08-3.13
3 Pr 0.1534 0.5000 0.8138 (multiplicity 4)  2 Au 3.22
4 Au 0.1655 0.5000 0.2313 (multiplicity 4)  5 Pm 3.01-3.13, 2 Pr 3.22

***

[2]
Computed, not measured: an optimized crystal structure of CePmPuGe at the GGA-PBE level of DFT.

* total magnetic moment: 7.42 μB per formula unit
* energy of formation from the pure elements: -0.14 eV per atom

Lattice parameters (Å, degrees): 7.2920 7.2920 7.2920 90.00 90.00 90.00
Closest atoms and distances in Å follow each position.
Space group F-43m (No. 216)
Inequivalent atoms, fractional coordinates:
1 Ce 0.0000 0.0000 0.0000 (multiplicity 4)  4 Pm 3.16, 4 Pu 3.16
2 Pm 0.2500 0.2500 0.2500 (multiplicity 4)  4 Ge 3.16, 4 Ce 3.16
3 Pu 0.2500 0.2500 0.7500 (multiplicity 4)  4 Ce 3.16, 4 Ge 3.16
4 Ge 0.0000 0.0000 0.5000 (multiplicity 4)  4 Pu 3.16, 4 Pm 3.16

***

> Which of these has the highest total magnetic moment?

CePmPuGe

***

Repeat the second record exactly.
Computed, not measured: an optimized crystal structure of CePmPuGe at the GGA-PBE level of DFT.

* total magnetic moment: 7.42 μB per formula unit
* energy of formation from the pure elements: -0.14 eV per atom

Lattice parameters (Å, degrees): 7.2920 7.2920 7.2920 90.00 90.00 90.00
Closest atoms and distances in Å follow each position.
Space group F-43m (No. 216)
Inequivalent atoms, fractional coordinates:
1 Ce 0.0000 0.0000 0.0000 (multiplicity 4)  4 Pm 3.16, 4 Pu 3.16
2 Pm 0.2500 0.2500 0.2500 (multiplicity 4)  4 Ge 3.16, 4 Ce 3.16
3 Pu 0.2500 0.2500 0.7500 (multiplicity 4)  4 Ce 3.16, 4 Ge 3.16
4 Ge 0.0000 0.0000 0.5000 (multiplicity 4)  4 Pu 3.16, 4 Pm 3.16